Computed, not measured: a geometry-optimized PrY2Tm3 structure at the PBE-GGA level of DFT.

The space group is Cmc2_1 (No. 36) and the conventional cell measures 9.430, 13.121 and 6.332 Å, with angles of 90.00, 90.00 and 90.00 degrees. The distinct sites, in fractional coordinates, are Pr at (0.000, 0.175, 0.000), Y at (0.183, 0.443, 0.223), Tm at (0.000, 0.083, 0.474) and Tm at (0.181, 0.302, 0.671).

Its volume is 32.64 Å³ per atom. The excess energy over the best structure of this formula in the dataset comes out at 0.193 eV/atom.